DFT (PBE) results for Cd3CoAs after structural relaxation.

## Properties
The calculation puts the calculated volume at 23.890 A^3/atom. For the total energy, the calculation gives -0.083 hartree per atom. Its density is 6.5 g cm⁻³. The energy above the lowest structure with this stoichiometry comes out at 0 meV/atom. The calculation puts the formation energy at 0.64 eV/atom. The value obtained for the total magnetic moment is 1.00 μB/cell. Its symmetry is Pm-3m, No. 221.

Cell: 4.925 4.925 4.925 Å, 90.00 90.00 90.00°
Sites, in units of the cell vectors:
Cd1 0.000 0.000 0.500
Cd2 0.000 0.500 0.000
Cd3 0.500 0.000 0.000
Co1 0.000 0.000 0.000
As1 0.500 0.500 0.500